Record 1
VASP calculation (SCAN) on a PBEsol-optimized structure of Sc3TaZn. Values from VASP.

Results
energy	-23.79	eV per atom
total magnetic moment	0.0	μB/f.u.
space-group type	No. 221
crystal system	cubic
E_form	775	meV/atom
density of states at the Fermi level	0.89	states/eV per atom

Structure (Quantum ESPRESSO input):
```
&SYSTEM
  ibrav = 0, nat = 5, ntyp = 3
/
ATOMIC_SPECIES
Sc 44.96 Sc.upf
Ta 180.95 Ta.upf
Zn 65.41 Zn.upf
CELL_PARAMETERS angstrom
5.0338 0.0000 0.0000
0.0000 5.0338 0.0000
0.0000 0.0000 5.0338
ATOMIC_POSITIONS crystal
Sc 0.0000 0.0000 0.5000
Sc 0.0000 0.5000 0.0000
Sc 0.5000 0.0000 0.0000
Ta 0.0000 0.0000 0.0000
Zn 0.5000 0.5000 0.5000
```

=====

Record 2
VASP calculation (SCAN) on a PBEsol-optimized structure of YCuOs2. Values from VASP.

Results
distance to the lowest polymorph of the same formula	186	meV/atom
energy	-46.19	eV per atom
total magnetic moment	0.0	μB/f.u.
space-group type	No. 65
crystal system	orthorhombic
E_form	513	meV/atom
density of states at the Fermi level	0.97	states/eV per atom

Structure (Quantum ESPRESSO input):
```
&SYSTEM
  ibrav = 0, nat = 4, ntyp = 3
/
ATOMIC_SPECIES
Y 88.91 Y.upf
Cu 63.55 Cu.upf
Os 190.23 Os.upf
CELL_PARAMETERS angstrom
2.6642 -4.0527 0.0000
2.6642 4.0527 0.0000
0.0000 0.0000 2.9616
ATOMIC_POSITIONS crystal
Y 0.0000 0.0000 0.0000
Cu 0.5000 0.5000 0.0000
Os 0.0000 0.5000 0.5000
Os 0.5000 0.0000 0.5000
```

=====

Record 3
VASP calculation (SCAN) on a PBEsol-optimized structure of YMn2Hg. Values from VASP.

Results
energy	-32.97	eV per atom
total magnetic moment	7.3	μB/f.u.
space-group type	No. 166
crystal system	trigonal
E_form	162	meV/atom
density of states at the Fermi level	0.77	states/eV per atom

Structure (Quantum ESPRESSO input):
```
&SYSTEM
  ibrav = 0, nat = 4, ntyp = 3
/
ATOMIC_SPECIES
Y 88.91 Y.upf
Mn 54.94 Mn.upf
Hg 200.59 Hg.upf
CELL_PARAMETERS angstrom
1.5809 0.9127 9.0075
-1.5809 0.9127 9.0075
0.0000 -1.8255 9.0075
ATOMIC_POSITIONS crystal
Y 0.0000 0.0000 0.0000
Mn 0.2460 0.2460 0.2460
Mn 0.7540 0.7540 0.7540
Hg 0.5000 0.5000 0.5000
```

=====

Record 4
VASP calculation (SCAN) on a PBEsol-optimized structure of NaVP2O8. Values from VASP.

Results
energy	-10.11	eV per atom
total magnetic moment	0.0	μB/f.u.
space-group type	No. 102
ΔE_f (raw)	-2411	meV/atom
crystal system	tetragonal
density of states at the Fermi level	0.00	states/eV per atom

Structure (Quantum ESPRESSO input):
```
&SYSTEM
  ibrav = 0, nat = 48, ntyp = 4
/
ATOMIC_SPECIES
Na 22.99 Na.upf
V 50.94 V.upf
P 30.97 P.upf
O 16.00 O.upf
CELL_PARAMETERS angstrom
8.1417 0.0000 0.0000
0.0000 8.1417 0.0000
0.0000 0.0000 9.9675
ATOMIC_POSITIONS crystal
Na 0.1547 0.1547 0.0000
Na 0.3453 0.6547 0.5000
Na 0.6547 0.3453 0.5000
Na 0.8453 0.8453 0.0000
V 0.0000 0.5000 0.2171
V 0.0000 0.5000 0.7171
V 0.5000 0.0000 0.2171
V 0.5000 0.0000 0.7171
P 0.1255 0.8745 0.7376
P 0.1374 0.8626 0.2505
P 0.3626 0.3626 0.7505
P 0.3745 0.3745 0.2376
P 0.6255 0.6255 0.2376
P 0.6374 0.6374 0.7505
P 0.8626 0.1374 0.2505
P 0.8745 0.1255 0.7376
O 0.0000 0.0000 0.2143
O 0.0000 0.0000 0.6681
O 0.0000 0.5000 0.3748
O 0.0000 0.5000 0.8748
O 0.0716 0.7129 0.1698
O 0.0783 0.7082 0.6727
O 0.1186 0.8814 0.8866
O 0.1659 0.8341 0.3949
O 0.2082 0.4217 0.1727
O 0.2129 0.4284 0.6698
O 0.2871 0.9284 0.1698
O 0.2918 0.9217 0.6727
O 0.3341 0.3341 0.8949
O 0.3814 0.3814 0.3866
O 0.4217 0.2082 0.1727
O 0.4284 0.2129 0.6698
O 0.5000 0.0000 0.3748
O 0.5000 0.0000 0.8748
O 0.5000 0.5000 0.1681
O 0.5000 0.5000 0.7143
O 0.5716 0.7871 0.6698
O 0.5783 0.7918 0.1727
O 0.6186 0.6186 0.3866
O 0.6659 0.6659 0.8949
O 0.7082 0.0783 0.6727
O 0.7129 0.0716 0.1698
O 0.7871 0.5716 0.6698
O 0.7918 0.5783 0.1727
O 0.8341 0.1659 0.3949
O 0.8814 0.1186 0.8866
O 0.9217 0.2918 0.6727
O 0.9284 0.2871 0.1698
```